No. 1
{
  "formula": "Ca3Tl4Rh4",
  "functional": "PBE",
  "state": "relaxed",
  "cell": [[-2.131, 4.038, 7.314], [2.131, -4.038, 7.314], [2.131, 4.038, -7.314]],
  "species": ["Ca", "Ca", "Ca", "Tl", "Tl", "Tl", "Tl", "Rh", "Rh", "Rh", "Rh"],
  "fractional_positions": [[0.000, 0.000, 0.000], [0.382, 0.882, 0.500], [0.618, 0.118, 0.500], [0.032, 0.335, 0.698], [0.363, 0.665, 0.698], [0.637, 0.335, 0.302], [0.968, 0.665, 0.302], [0.227, 0.227, 0.000], [0.339, 0.500, 0.839], [0.661, 0.500, 0.161], [0.773, 0.773, 0.000]],
  "formation_energy_ev_per_atom": -0.2450
}


No. 2
{
  "formula": "Ac2SnP3Pt4",
  "functional": "PBE",
  "state": "relaxed",
  "cell": [[4.402, 0.000, 0.000], [0.000, 4.402, 0.000], [0.000, 0.000, 10.458]],
  "species": ["Ac", "Ac", "Sn", "P", "P", "P", "Pt", "Pt", "Pt", "Pt"],
  "fractional_positions": [[0.000, 0.500, 0.236], [0.500, 0.000, 0.764], [0.000, 0.000, 0.500], [0.000, 0.500, 0.876], [0.500, 0.000, 0.124], [0.500, 0.500, 0.500], [0.000, 0.000, 0.000], [0.000, 0.500, 0.647], [0.500, 0.000, 0.353], [0.500, 0.500, 0.000]],
  "formation_energy_ev_per_atom": -0.9040
}


No. 3
{
  "formula": "Na2ZnHg",
  "functional": "PBE",
  "state": "relaxed",
  "cell": [[4.751, 0.000, 0.000], [0.000, 4.751, 0.000], [0.000, 0.000, 4.336]],
  "species": ["Na", "Na", "Zn", "Hg"],
  "fractional_positions": [[0.000, 0.500, 0.000], [0.500, 0.000, 0.000], [0.000, 0.000, 0.500], [0.500, 0.500, 0.500]],
  "formation_energy_ev_per_atom": -0.0697
}